DFT (PBE-GGA) results for Er6Tm2Zn after structural relaxation.

abc: 9.9115 9.9394 5.2561
angles: 90.00 90.00 90.00
Fractional positions:
Er1 0.0401 0.1844 0.0000
Er2 0.1229 0.6211 0.5000
Er3 0.1842 0.9563 0.5000
Er4 0.3158 0.4563 0.0000
Er5 0.3771 0.1211 0.0000
Er6 0.4599 0.6844 0.5000
Er7 0.5401 0.3156 0.5000
Er8 0.6229 0.8789 0.0000
Er9 0.6842 0.5437 0.0000
Er10 0.8158 0.0437 0.5000
Er11 0.8771 0.3789 0.5000
Er12 0.9599 0.8156 0.0000
Tm1 0.2135 0.2828 0.5000
Tm2 0.2865 0.7828 0.0000
Tm3 0.7135 0.2172 0.0000
Tm4 0.7865 0.7172 0.5000
Zn1 0.0000 0.5000 0.0000
Zn2 0.5000 0.0000 0.5000

## Properties
energy relative to the elements = 0.024 eV per atom
space-group type = Pnnm, No. 58
magnetic moment = 0.001 μB/f.u.
D(E_F) = 1.64 states/eV/atom

---

DFT (PBE-GGA) results for Ac12MgCo5 after structural relaxation.

abc: 9.1863 9.1863 9.1863
angles: 110.22 109.23 108.97
Fractional positions:
Ac1 0.0022 0.1893 0.8128
Ac2 0.1836 0.3085 0.4920
Ac3 0.1836 0.6915 0.8751
Ac4 0.3182 0.0034 0.6853
Ac5 0.3182 0.6329 0.3147
Ac6 0.3765 0.1893 0.1872
Ac7 0.6235 0.8107 0.8128
Ac8 0.6818 0.3671 0.6853
Ac9 0.6818 0.9966 0.3147
Ac10 0.8164 0.3085 0.1249
Ac11 0.8164 0.6915 0.5080
Ac12 0.9978 0.8107 0.1872
Mg1 0.5000 0.5000 0.0000
Co1 0.0000 0.0000 0.0000
Co2 0.1088 0.6088 0.5000
Co3 0.3844 0.0000 0.3844
Co4 0.6156 0.0000 0.6156
Co5 0.8912 0.3912 0.5000

## Properties
energy relative to the elements = -0.021 eV per atom
space-group type = Immm, No. 71
magnetic moment = 0.003 μB/f.u.
D(E_F) = 1.06 states/eV/atom

---

DFT (PBE-GGA) results for SrCuBi after structural relaxation.

abc: 9.6640 9.6640 9.6640
angles: 27.94 27.94 27.94
Fractional positions:
Sr1 0.0000 0.0000 0.0000
Sr2 0.1629 0.1629 0.1629
Cu1 0.2714 0.2714 0.2714
Cu2 0.7525 0.7525 0.7525
Bi1 0.4144 0.4144 0.4144
Bi2 0.5853 0.5853 0.5853

## Properties
energy relative to the elements = -0.467 eV per atom
space-group type = R3m, No. 160
magnetic moment = 0.000 μB/f.u.
D(E_F) = 0.13 states/eV/atom

---

DFT (PBE-GGA) results for CdAgRh after structural relaxation.

abc: 5.0186 5.0186 5.0186
angles: 145.34 133.48 59.30
Fractional positions:
Cd1 0.0000 0.0000 0.0000
Ag1 0.6738 0.6738 0.0000
Rh1 0.3390 0.3390 0.0000

## Properties
energy relative to the elements = 0.068 eV per atom
space-group type = Imm2, No. 44
magnetic moment = 0.000 μB/f.u.
D(E_F) = 0.86 states/eV/atom

---

DFT (PBE-GGA) results for MnBePd3 after structural relaxation.

abc: 4.6122 4.6122 4.6122
angles: 90.00 90.00 90.00
Fractional positions:
Mn1 0.0000 0.0000 0.0000
Be1 0.5000 0.5000 0.5000
Pd1 0.0000 0.0000 0.5000
Pd2 0.0000 0.5000 0.0000
Pd3 0.5000 0.0000 0.0000

## Properties
energy relative to the elements = 1.001 eV per atom
space-group type = Pm-3m, No. 221
magnetic moment = 4.523 μB/f.u.
D(E_F) = 0.52 states/eV/atom

---

DFT (PBE-GGA) results for LiYN2 after structural relaxation.

abc: 4.0211 4.0211 4.0211
angles: 60.00 60.00 60.00
Fractional positions:
Li1 0.0000 0.0000 0.0000
Y1 0.5000 0.5000 0.5000
N1 0.2500 0.2500 0.2500
N2 0.7500 0.7500 0.7500

## Properties
raw formation energy = -0.26 eV/atom
space-group type = Fm-3m, No. 225
magnetic moment = 1.740 μB/f.u.
D(E_F) = 0.44 states/eV/atom

---

DFT (PBE-GGA) results for MnFeCl2 after structural relaxation.

abc: 3.2393 3.2393 8.8158
angles: 100.19 100.19 60.01
Fractional positions:
Mn1 0.0000 0.0000 0.0000
Fe1 0.2590 0.2590 0.7694
Cl1 0.5374 0.5374 0.5977
Cl2 0.7243 0.7243 0.1797

## Properties
raw formation energy = -0.36 eV/atom
space-group type = Cm, No. 8
magnetic moment = 7.254 μB/f.u.
D(E_F) = 0.33 states/eV/atom

---

DFT (PBE-GGA) results for Li2ScIn2Hg2 after structural relaxation.

abc: 7.9885 7.9885 7.9885
angles: 34.74 34.74 34.74
Fractional positions:
Li1 0.1400 0.1400 0.1400
Li2 0.8600 0.8600 0.8600
Sc1 0.0000 0.0000 0.0000
In1 0.2748 0.2748 0.2748
In2 0.7252 0.7252 0.7252
Hg1 0.4313 0.4313 0.4313
Hg2 0.5687 0.5687 0.5687

## Properties
energy relative to the elements = -0.245 eV per atom
space-group type = R-3m, No. 166
magnetic moment = 0.000 μB/f.u.
D(E_F) = 0.42 states/eV/atom

---

DFT (PBE-GGA) results for K4Tb3BiS8 after structural relaxation.

abc: 8.7615 8.7615 8.7615
angles: 55.78 55.78 55.78
Fractional positions:
K1 0.0000 0.0000 0.0000
K2 0.0000 0.5000 0.5000
K3 0.5000 0.0000 0.5000
K4 0.5000 0.5000 0.0000
Tb1 0.0000 0.0000 0.5000
Tb2 0.0000 0.5000 0.0000
Tb3 0.5000 0.0000 0.0000
Bi1 0.5000 0.5000 0.5000
S1 0.2286 0.7381 0.7381
S2 0.2339 0.2339 0.2339
S3 0.2619 0.2619 0.7714
S4 0.2619 0.7714 0.2619
S5 0.7381 0.2286 0.7381
S6 0.7381 0.7381 0.2286
S7 0.7661 0.7661 0.7661
S8 0.7714 0.2619 0.2619

## Properties
raw formation energy = -1.62 eV/atom
space-group type = R-3m, No. 166
magnetic moment = 0.000 μB/f.u.
D(E_F) = 0.00 states/eV/atom

---

DFT (PBE-GGA) results for Pr2Sm12Y5 after structural relaxation.

abc: 8.7742 8.7742 9.4393
angles: 109.43 109.43 83.73
Fractional positions:
Pr1 0.2292 0.7708 0.0000
Pr2 0.7708 0.2292 0.0000
Sm1 0.0594 0.5516 0.1968
Sm2 0.0770 0.0770 0.7790
Sm3 0.1126 0.6717 0.5812
Sm4 0.3283 0.8874 0.4188
Sm5 0.3804 0.3804 0.0578
Sm6 0.4484 0.9406 0.8032
Sm7 0.5516 0.0594 0.1968
Sm8 0.6196 0.6196 0.9422
Sm9 0.6717 0.1126 0.5812
Sm10 0.8874 0.3283 0.4188
Sm11 0.9230 0.9230 0.2210
Sm12 0.9406 0.4484 0.8032
Y1 0.1885 0.1885 0.2319
Y2 0.3047 0.3047 0.6632
Y3 0.5000 0.5000 0.5000
Y4 0.6953 0.6953 0.3368
Y5 0.8115 0.8115 0.7681

## Properties
energy relative to the elements = 0.110 eV per atom
space-group type = C2/m, No. 12
magnetic moment = 0.000 μB/f.u.
D(E_F) = 1.51 states/eV/atom

---

DFT (PBE-GGA) results for AcAlSiNi3 after structural relaxation.

abc: 6.8045 6.8045 5.6317
angles: 90.00 90.00 123.93
Fractional positions:
Ac1 0.2331 0.7669 0.7500
Ac2 0.7669 0.2331 0.2500
Al1 0.4849 0.5151 0.2500
Al2 0.5151 0.4849 0.7500
Si1 0.1039 0.8961 0.2500
Si2 0.8961 0.1039 0.7500
Ni1 0.2000 0.2000 0.0000
Ni2 0.2000 0.2000 0.5000
Ni3 0.2894 0.7106 0.2500
Ni4 0.7106 0.2894 0.7500
Ni5 0.8000 0.8000 0.0000
Ni6 0.8000 0.8000 0.5000

## Properties
raw formation energy = -0.40 eV/atom
space-group type = Cmcm, No. 63
magnetic moment = 0.000 μB/f.u.
D(E_F) = 0.51 states/eV/atom

---

DFT (PBE-GGA) results for Rh2PbW after structural relaxation.

abc: 9.3309 9.3309 9.3309
angles: 18.32 18.32 18.32
Fractional positions:
Rh1 0.2419 0.2419 0.2419
Rh2 0.7581 0.7581 0.7581
Pb1 0.0000 0.0000 0.0000
W1 0.5000 0.5000 0.5000

## Properties
energy relative to the elements = 0.195 eV per atom
space-group type = R-3m, No. 166
magnetic moment = 0.000 μB/f.u.
D(E_F) = 0.77 states/eV/atom